(1)
{
  "formula": "PaZnIrRh",
  "functional": "PBE",
  "state": "optimized geometry",
  "lattice_angstrom": [[0.000, 3.294, 3.294], [3.294, 0.000, 3.294], [3.294, 3.294, 0.000]],
  "species": ["Pa", "Zn", "Ir", "Rh"],
  "fractional_positions": [[0.000, 0.000, 0.000], [0.500, 0.500, 0.500], [0.750, 0.750, 0.750], [0.250, 0.250, 0.250]],
  "formation_energy_ev_per_atom": -0.59,
  "magmom_total_mub_per_fu": 0.00,
  "e_tot_ev_per_cell": -29.334
}

***

(2)
{
  "formula": "KPa2S5",
  "functional": "PBE",
  "state": "optimized geometry",
  "lattice_angstrom": [[-2.095, 3.408, 7.113], [2.095, -3.408, 7.113], [2.095, 3.408, -7.113]],
  "species": ["K", "Pa", "Pa", "S", "S", "S", "S", "S"],
  "fractional_positions": [[0.000, 0.000, 0.000], [0.315, 0.815, 0.500], [0.685, 0.185, 0.500], [0.086, 0.342, 0.745], [0.403, 0.658, 0.745], [0.500, 0.000, 0.500], [0.597, 0.342, 0.255], [0.914, 0.658, 0.255]],
  "magmom_total_mub_per_fu": 1.11,
  "formation_energy_uncorrected_ev_per_fu": -12.84,
  "e_tot_ev_per_cell": -53.567
}